(1)
DFT (GGA-PBE) results for NdTmGe2 after structural relaxation.

Computed properties:
As for the formation energy: -0.823 eV per atom. The relative energy among the computed polymorphs comes out at 0.0000 eV/atom. The value obtained for the volume is 189.59 Å³ per cell. As for the total magnetization: 0.00 Bohr magnetons per cell. The value obtained for the theoretical density is 8.0 Mg/m³. The total energy comes out at -43.5 eV/cell.

Structure (CIF):
```
data_NdTmGe2
_space_group_name_H-M_alt 'A m m 2'
_space_group_IT_number 38
_cell_length_a 4.0128
_cell_length_b 4.3503
_cell_length_c 10.8606
_cell_angle_alpha 90.00
_cell_angle_beta 90.00
_cell_angle_gamma 90.00
loop_
_space_group_symop_operation_xyz
'x,y,z'
'-x,-y,z'
'-x,y,z'
'x,-y,z'
'x,y+1/2,z+1/2'
'-x,-y+1/2,z+1/2'
'-x,y+1/2,z+1/2'
'x,-y+1/2,z+1/2'
loop_
_atom_site_label
_atom_site_type_symbol
_atom_site_fract_x
_atom_site_fract_y
_atom_site_fract_z
Nd1 Nd 0.0000 0.0000 0.0000
Tm1 Tm 0.5000 0.0000 0.7245
Ge1 Ge 0.0000 0.0000 0.2761
Ge2 Ge 0.5000 0.0000 0.4444
```

=====

(2)
DFT (GGA-PBE) results for SnP2O7 after structural relaxation.

Computed properties:
The relative energy among the computed polymorphs comes out at 0.0421 eV/atom. For the raw formation energy, the calculation gives -20.0 eV per formula unit. The value obtained for the volume is 581.78 Å³ per cell. As for the total magnetization: 0.00 Bohr magnetons per cell. The value obtained for the theoretical density is 3.3 Mg/m³. The total energy comes out at -278.0 eV/cell.

Structure (CIF):
```
data_SnP2O7
_space_group_name_H-M_alt 'P a -3'
_space_group_IT_number 205
_space_group_name_Hall '-P 2ac 2ab 3'
_cell_length_a 8.3481
_cell_length_b 8.3481
_cell_length_c 8.3481
_cell_angle_alpha 90.00
_cell_angle_beta 90.00
_cell_angle_gamma 90.00
loop_
_atom_site_label
_atom_site_type_symbol
_atom_site_fract_x
_atom_site_fract_y
_atom_site_fract_z
Sn1 Sn 0.0000 0.0000 0.0000
P1 P 0.1100 0.6100 0.8900
O1 O 0.0000 0.0000 0.5000
O2 O 0.0519 0.7186 0.4059
```

=====

(3)
DFT (GGA-PBE) results for Cs2TbTiO4 after structural relaxation.

Computed properties:
For the raw formation energy, the calculation gives -18.2 eV per formula unit. The value obtained for the volume is 1970.96 Å³ per cell. As for the total magnetization: 0.00 Bohr magnetons per cell. The value obtained for the theoretical density is 3.6 Mg/m³. The total energy comes out at -418.2 eV/cell.

Structure (CIF):
```
data_Cs2TbTiO4
_space_group_name_H-M_alt 'F d d d'
_space_group_IT_number 70
_cell_length_a 5.9677
_cell_length_b 13.5854
_cell_length_c 24.3105
_cell_angle_alpha 90.00
_cell_angle_beta 90.00
_cell_angle_gamma 90.00
loop_
_space_group_symop_operation_xyz
'x,y,z'
'-x,-y,-z'
'-x+1/4,-y+1/4,z'
'x+1/4,y+1/4,-z'
'x,-y+1/4,-z+1/4'
'-x,y+1/4,z+1/4'
'-x+1/4,y,-z+1/4'
'x+1/4,-y,z+1/4'
'x,y+1/2,z+1/2'
'-x,-y+1/2,-z+1/2'
'-x+1/4,-y+3/4,z+1/2'
'x+1/4,y+3/4,-z+1/2'
'x,-y+3/4,-z+3/4'
'-x,y+3/4,z+3/4'
'-x+1/4,y+1/2,-z+3/4'
'x+1/4,-y+1/2,z+3/4'
'x+1/2,y,z+1/2'
'-x+1/2,-y,-z+1/2'
'-x+3/4,-y+1/4,z+1/2'
'x+3/4,y+1/4,-z+1/2'
'x+1/2,-y+1/4,-z+3/4'
'-x+1/2,y+1/4,z+3/4'
'-x+3/4,y,-z+3/4'
'x+3/4,-y,z+3/4'
'x+1/2,y+1/2,z'
'-x+1/2,-y+1/2,-z'
'-x+3/4,-y+3/4,z'
'x+3/4,y+3/4,-z'
'x+1/2,-y+3/4,-z+1/4'
'-x+1/2,y+3/4,z+1/4'
'-x+3/4,y+1/2,-z+1/4'
'x+3/4,-y+1/2,z+1/4'
loop_
_atom_site_label
_atom_site_type_symbol
_atom_site_fract_x
_atom_site_fract_y
_atom_site_fract_z
Cs1 Cs 0.1250 0.1250 0.3047
Tb1 Tb 0.1250 0.1250 0.1250
Ti1 Ti 0.1250 0.1250 0.6250
O1 O 0.0844 0.2989 0.8381
```

=====

(4)
DFT (GGA-PBE) results for Sm4Al3Ag after structural relaxation.

Computed properties:
As for the formation energy: -0.349 eV per atom. The relative energy among the computed polymorphs comes out at 0.0000 eV/atom. The value obtained for the volume is 200.79 Å³ per cell. As for the total magnetization: 0.00 Bohr magnetons per cell. The value obtained for the theoretical density is 6.5 Mg/m³. The total energy comes out at -35.7 eV/cell.

Structure (CIF):
```
data_Sm4Al3Ag
_space_group_name_H-M_alt 'P 4/m m m'
_space_group_IT_number 123
_space_group_name_Hall '-P 4 2'
_cell_length_a 3.6398
_cell_length_b 3.6398
_cell_length_c 15.1558
_cell_angle_alpha 90.00
_cell_angle_beta 90.00
_cell_angle_gamma 90.00
loop_
_atom_site_label
_atom_site_type_symbol
_atom_site_fract_x
_atom_site_fract_y
_atom_site_fract_z
Sm1 Sm 0.0000 0.0000 0.1231
Sm2 Sm 0.0000 0.0000 0.3704
Al1 Al 0.5000 0.5000 0.0000
Al2 Al 0.5000 0.5000 0.2488
Ag1 Ag 0.5000 0.5000 0.5000
```

=====

(5)
DFT (GGA-PBE) results for SiSn2Au3 after structural relaxation.

Computed properties:
For the raw formation energy, the calculation gives -0.3 eV per formula unit. The value obtained for the volume is 566.19 Å³ per cell. As for the total magnetization: 0.00 Bohr magnetons per cell. The value obtained for the theoretical density is 10.0 Mg/m³. The total energy comes out at -94.3 eV/cell.

Structure (CIF):
```
data_SiSn2Au3
_space_group_name_H-M_alt 'C 1 2/c 1'
_space_group_IT_number 15
_cell_length_a 10.9096
_cell_length_b 8.8364
_cell_length_c 6.6607
_cell_angle_alpha 90.00
_cell_angle_beta 118.14
_cell_angle_gamma 90.00
loop_
_space_group_symop_operation_xyz
'x,y,z'
'-x,-y,-z'
'-x,y,-z+1/2'
'x,-y,z+1/2'
'x+1/2,y+1/2,z'
'-x+1/2,-y+1/2,-z'
'-x+1/2,y+1/2,-z+1/2'
'x+1/2,-y+1/2,z+1/2'
loop_
_atom_site_label
_atom_site_type_symbol
_atom_site_fract_x
_atom_site_fract_y
_atom_site_fract_z
Si1 Si 0.0000 0.0407 0.2500
Sn1 Sn 0.1712 0.4681 0.0862
Au1 Au 0.0000 0.3207 0.2500
Au2 Au 0.1390 0.1494 0.0462
```

=====

(6)
DFT (GGA-PBE) results for Nd3UP4 after structural relaxation.

Computed properties:
As for the formation energy: -1.389 eV per atom. The value obtained for the volume is 390.23 Å³ per cell. As for the total magnetization: 4.16 Bohr magnetons per cell. The value obtained for the theoretical density is 6.8 Mg/m³. The total energy comes out at -116.7 eV/cell.

Structure (CIF):
```
data_Nd3UP4
_space_group_name_H-M_alt 'C m m m'
_space_group_IT_number 65
_space_group_name_Hall '-C 2 2'
_cell_length_a 8.2365
_cell_length_b 11.5870
_cell_length_c 4.0889
_cell_angle_alpha 90.00
_cell_angle_beta 90.00
_cell_angle_gamma 90.00
loop_
_atom_site_label
_atom_site_type_symbol
_atom_site_fract_x
_atom_site_fract_y
_atom_site_fract_z
Nd1 Nd 0.0000 0.0000 0.0000
Nd2 Nd 0.2500 0.2500 0.5000
U1 U 0.0000 0.5000 0.0000
P1 P 0.0000 0.2591 0.0000
P2 P 0.2366 0.5000 0.5000
```

=====

(7)
DFT (GGA-PBE) results for HoGaNi5 after structural relaxation.

Computed properties:
As for the formation energy: -0.402 eV per atom. The value obtained for the volume is 376.22 Å³ per cell. As for the total magnetization: 0.00 Bohr magnetons per cell. The value obtained for the theoretical density is 9.3 Mg/m³. The total energy comes out at -157.3 eV/cell.

Structure (CIF):
```
data_HoGaNi5
_space_group_name_H-M_alt 'P n m a'
_space_group_IT_number 62
_cell_length_a 7.8597
_cell_length_b 4.8090
_cell_length_c 9.9538
_cell_angle_alpha 90.00
_cell_angle_beta 90.00
_cell_angle_gamma 90.00
loop_
_space_group_symop_operation_xyz
'x,y,z'
'-x,-y,-z'
'-x+1/2,-y,z+1/2'
'x+1/2,y,-z+1/2'
'x+1/2,-y+1/2,-z+1/2'
'-x+1/2,y+1/2,z+1/2'
'-x,y+1/2,-z'
'x,-y+1/2,z'
loop_
_atom_site_label
_atom_site_type_symbol
_atom_site_fract_x
_atom_site_fract_y
_atom_site_fract_z
Ho1 Ho 0.2469 0.2500 0.0594
Ga1 Ga 0.1425 0.7500 0.8583
Ni1 Ni 0.0536 0.7500 0.0927
Ni2 Ni 0.0655 0.0050 0.3060
Ni3 Ni 0.0953 0.2500 0.5173
Ni4 Ni 0.1865 0.2500 0.7511
```

=====

(8)
DFT (GGA-PBE) results for V12Si6P after structural relaxation.

Computed properties:
For the raw formation energy, the calculation gives -0.8 eV per formula unit. The value obtained for the volume is 841.61 Å³ per cell. As for the total magnetization: 0.00 Bohr magnetons per cell. The value obtained for the theoretical density is 4.8 Mg/m³. The total energy comes out at -444.4 eV/cell.

Structure (CIF):
```
data_V12Si6P
_space_group_name_H-M_alt 'R -3'
_space_group_IT_number 148
_space_group_name_Hall '-R 3'
_cell_length_a 10.2428
_cell_length_b 10.2428
_cell_length_c 9.2628
_cell_angle_alpha 90.00
_cell_angle_beta 90.00
_cell_angle_gamma 120.00
loop_
_atom_site_label
_atom_site_type_symbol
_atom_site_fract_x
_atom_site_fract_y
_atom_site_fract_z
V1 V 0.0369 0.1854 0.3722
V2 V 0.0729 0.1980 0.8564
Si1 Si 0.0355 0.4203 0.2868
P1 P 0.0000 0.0000 0.0000
```

=====

(9)
DFT (GGA-PBE) results for Y2TaMo after structural relaxation.

Computed properties:
As for the formation energy: 0.316 eV per atom. The relative energy among the computed polymorphs comes out at 0.1801 eV/atom. The value obtained for the volume is 187.43 Å³ per cell. As for the total magnetization: 0.00 Bohr magnetons per cell. The value obtained for the theoretical density is 8.1 Mg/m³. The total energy comes out at -68.7 eV/cell.

Structure (CIF):
```
data_Y2TaMo
_space_group_name_H-M_alt 'C m m 2'
_space_group_IT_number 35
_cell_length_a 3.5031
_cell_length_b 5.2843
_cell_length_c 10.1249
_cell_angle_alpha 90.00
_cell_angle_beta 90.00
_cell_angle_gamma 90.00
loop_
_space_group_symop_operation_xyz
'x,y,z'
'-x,-y,z'
'-x,y,z'
'x,-y,z'
'x+1/2,y+1/2,z'
'-x+1/2,-y+1/2,z'
'-x+1/2,y+1/2,z'
'x+1/2,-y+1/2,z'
loop_
_atom_site_label
_atom_site_type_symbol
_atom_site_fract_x
_atom_site_fract_y
_atom_site_fract_z
Y1 Y 0.0000 0.0000 0.0000
Y2 Y 0.0000 0.5000 0.3257
Ta1 Ta 0.0000 0.0000 0.5833
Mo1 Mo 0.0000 0.5000 0.7685
```

=====

(10)
DFT (GGA-PBE) results for Cs2NaMgI5 after structural relaxation.

Computed properties:
For the raw formation energy, the calculation gives -11.5 eV per formula unit. The value obtained for the volume is 1713.87 Å³ per cell. As for the total magnetization: 0.00 Bohr magnetons per cell. The value obtained for the theoretical density is 3.7 Mg/m³. The total energy comes out at -95.5 eV/cell.

Structure (CIF):
```
data_Cs2NaMgI5
_space_group_name_H-M_alt 'C m c 21'
_space_group_IT_number 36
_cell_length_a 4.7187
_cell_length_b 22.6532
_cell_length_c 16.0335
_cell_angle_alpha 90.00
_cell_angle_beta 90.00
_cell_angle_gamma 90.00
loop_
_space_group_symop_operation_xyz
'x,y,z'
'-x,-y,z+1/2'
'-x,y,z'
'x,-y,z+1/2'
'x+1/2,y+1/2,z'
'-x+1/2,-y+1/2,z+1/2'
'-x+1/2,y+1/2,z'
'x+1/2,-y+1/2,z+1/2'
loop_
_atom_site_label
_atom_site_type_symbol
_atom_site_fract_x
_atom_site_fract_y
_atom_site_fract_z
Cs1 Cs 0.0000 0.1111 0.0000
Cs2 Cs 0.0000 0.1353 0.6198
Na1 Na 0.0000 0.4330 0.7606
Mg1 Mg 0.0000 0.2140 0.3400
I1 I 0.0000 0.0873 0.3747
I2 I 0.0000 0.2766 0.9632
I3 I 0.0000 0.3002 0.7115
I4 I 0.0000 0.3395 0.3164
I5 I 0.0000 0.4993 0.1009
```

=====

Question: What is the theoretical density in the seventh record?
Answer: 9.3 Mg/m³